[1]
Entry from OQMD via LeMat-Bulk: a relaxed ZnCu5Sn2 crystal (PBE-GGA).

Unit cell a=4.396 b=4.396 c=6.174 alpha=90.00 beta=90.00 gamma=90.00
Space group P4/mmm (No. 123)
Symmetry-distinct sites (fractional):
1 Zn 0.000 0.000 0.000 (multiplicity 1)
2 Cu 0.000 0.500 0.253 (multiplicity 4)
3 Cu 0.500 0.500 0.500 (multiplicity 1)
4 Sn 0.000 0.000 0.500 (multiplicity 1)
5 Sn 0.500 0.500 0.000 (multiplicity 1)

[2]
Entry from OQMD via LeMat-Bulk: a relaxed SnPtSO crystal (PBE-GGA).

Unit cell a=4.540 b=4.540 c=7.382 alpha=90.00 beta=90.00 gamma=90.00
Space group P4/nmm (No. 129, origin choice 2)
Symmetry-distinct sites (fractional):
1 Sn 0.250 0.750 0.000 (multiplicity 2)
2 Pt 0.250 0.250 0.187 (multiplicity 2)
3 S 0.250 0.250 0.703 (multiplicity 2)
4 O 0.250 0.250 0.497 (multiplicity 2)

[3]
Entry from OQMD via LeMat-Bulk: a relaxed RbBeNbTe3 crystal (PBE-GGA).

Unit cell a=3.986 b=16.853 c=10.900 alpha=90.00 beta=90.00 gamma=90.00
Space group Cmcm (No. 63)
Symmetry-distinct sites (fractional):
1 Rb 0.000 0.245 0.250 (multiplicity 4)
2 Be 0.000 0.033 0.750 (multiplicity 4)
3 Nb 0.000 0.500 0.000 (multiplicity 4)
4 Te 0.000 0.116 0.563 (multiplicity 8)
5 Te 0.000 0.440 0.750 (multiplicity 4)

[4]
Entry from OQMD via LeMat-Bulk: a relaxed Sc3ZnCN crystal (PBE-GGA).

Unit cell a=3.2553 b=3.2553 c=20.0128 alpha=90.00 beta=90.00 gamma=120.00
Space group P-3m1 (No. 164)
Symmetry-distinct sites (fractional):
1 Sc 0.0000 0.0000 0.0000 (multiplicity 1)
2 Sc 0.0000 0.0000 0.5000 (multiplicity 1)
3 Sc 0.3333 0.6667 0.1246 (multiplicity 2)
4 Sc 0.3333 0.6667 0.3728 (multiplicity 2)
5 Zn 0.0000 0.0000 0.2394 (multiplicity 2)
6 C 0.3333 0.6667 0.5726 (multiplicity 2)
7 N 0.3333 0.6667 0.9333 (multiplicity 2)

[5]
Entry from OQMD via LeMat-Bulk: a relaxed NaCoCuRe crystal (PBE-GGA).

Unit cell a=5.955 b=5.955 c=5.955 alpha=90.00 beta=90.00 gamma=90.00
Space group F-43m (No. 216)
Symmetry-distinct sites (fractional):
1 Na 0.000 0.000 0.000 (multiplicity 4)
2 Co 0.000 0.000 0.500 (multiplicity 4)
3 Cu 0.250 0.250 0.750 (multiplicity 4)
4 Re 0.250 0.250 0.250 (multiplicity 4)

[6]
Entry from OQMD via LeMat-Bulk: a relaxed Ta crystal (PBE-GGA).

Unit cell a=10.271 b=10.271 c=10.271 alpha=90.00 beta=90.00 gamma=90.00
Space group I-43m (No. 217)
Symmetry-distinct sites (fractional):
1 Ta 0.000 0.000 0.000 (multiplicity 2)
2 Ta 0.037 0.359 0.641 (multiplicity 24)
3 Ta 0.091 0.091 0.721 (multiplicity 24)
4 Ta 0.188 0.188 0.188 (multiplicity 8)

[7]
Entry from OQMD via LeMat-Bulk: a relaxed Pa6ReN12 crystal (PBE-GGA).

Unit cell a=9.8478 b=9.8478 c=9.4533 alpha=90.00 beta=90.00 gamma=120.00
Space group R-3 (No. 148, hexagonal axes)
Symmetry-distinct sites (fractional):
1 Pa 0.0511 0.2590 0.1572 (multiplicity 18)
2 Re 0.0000 0.0000 0.5000 (multiplicity 3)
3 N 0.0345 0.2271 0.9018 (multiplicity 18)
4 N 0.0406 0.1981 0.3933 (multiplicity 18)

[8]
Entry from OQMD via LeMat-Bulk: a relaxed HfZrBi crystal (PBE-GGA).

Unit cell a=7.015 b=7.015 c=7.015 alpha=90.00 beta=90.00 gamma=90.00
Space group F-43m (No. 216)
Symmetry-distinct sites (fractional):
1 Hf 0.000 0.000 0.000 (multiplicity 4)
2 Zr 0.250 0.250 0.250 (multiplicity 4)
3 Bi 0.250 0.250 0.750 (multiplicity 4)

[9]
Entry from OQMD via LeMat-Bulk: a relaxed NaLaCdS3 crystal (PBE-GGA).

Unit cell a=17.485 b=4.155 c=8.678 alpha=90.00 beta=106.79 gamma=90.00
Space group C2/m (No. 12)
Symmetry-distinct sites (fractional):
1 Na 0.123 0.000 0.067 (multiplicity 4)
2 La 0.177 0.000 0.617 (multiplicity 4)
3 Cd 0.007 0.500 0.715 (multiplicity 4)
4 S 0.000 0.000 0.500 (multiplicity 2)
5 S 0.000 0.500 0.000 (multiplicity 2)
6 S 0.160 0.500 0.373 (multiplicity 4)
7 S 0.167 0.500 0.830 (multiplicity 4)

[10]
Entry from OQMD via LeMat-Bulk: a relaxed Gd2HoSc3Te2Os crystal (PBE-GGA).

Unit cell a=4.041 b=13.806 c=7.935 alpha=90.00 beta=90.00 gamma=90.00
Space group Amm2 (No. 38)
Symmetry-distinct sites (fractional):
1 Gd 0.000 0.196 0.000 (multiplicity 4)
2 Ho 0.000 0.000 0.417 (multiplicity 2)
3 Sc 0.500 0.000 0.032 (multiplicity 2)
4 Sc 0.500 0.115 0.689 (multiplicity 4)
5 Te 0.500 0.165 0.306 (multiplicity 4)
6 Os 0.000 0.000 0.797 (multiplicity 2)

[11]
Entry from OQMD via LeMat-Bulk: a relaxed Sm2AlGaCl2 crystal (PBE-GGA).

Unit cell a=4.1715 b=4.1715 c=11.6617 alpha=90.00 beta=90.00 gamma=120.00
Space group P3m1 (No. 156)
Symmetry-distinct sites (fractional):
1 Sm 0.0000 0.0000 0.0000 (multiplicity 1)
2 Sm 0.0000 0.0000 0.3660 (multiplicity 1)
3 Al 0.3333 0.6667 0.2023 (multiplicity 1)
4 Ga 0.6667 0.3333 0.1570 (multiplicity 1)
5 Cl 0.3333 0.6667 0.8640 (multiplicity 1)
6 Cl 0.6667 0.3333 0.5007 (multiplicity 1)

[12]
Entry from OQMD via LeMat-Bulk: a relaxed SrErNO crystal (PBE-GGA).

Unit cell a=6.717 b=8.172 c=5.654 alpha=90.00 beta=90.00 gamma=90.00
Space group Pca2_1 (No. 29)
Symmetry-distinct sites (fractional):
1 Sr 0.080 0.126 0.000 (multiplicity 4)
2 Er 0.085 0.615 0.976 (multiplicity 4)
3 N 0.048 0.160 0.546 (multiplicity 4)
4 O 0.101 0.594 0.590 (multiplicity 4)

[13]
Entry from OQMD via LeMat-Bulk: a relaxed TbGdCd2Au4 crystal (PBE-GGA).

Unit cell a=4.949 b=4.949 c=6.997 alpha=90.00 beta=90.00 gamma=90.00
Space group P4/mmm (No. 123)
Symmetry-distinct sites (fractional):
1 Tb 0.000 0.000 0.000 (multiplicity 1)
2 Gd 0.500 0.500 0.500 (multiplicity 1)
3 Cd 0.000 0.000 0.500 (multiplicity 1)
4 Cd 0.500 0.500 0.000 (multiplicity 1)
5 Au 0.000 0.500 0.250 (multiplicity 4)

[14]
Entry from OQMD via LeMat-Bulk: a relaxed LiNbSiOs crystal (PBE-GGA).

Unit cell a=6.021 b=6.021 c=6.021 alpha=90.00 beta=90.00 gamma=90.00
Space group F-43m (No. 216)
Symmetry-distinct sites (fractional):
1 Li 0.000 0.000 0.000 (multiplicity 4)
2 Nb 0.250 0.250 0.250 (multiplicity 4)
3 Si 0.000 0.000 0.500 (multiplicity 4)
4 Os 0.250 0.250 0.750 (multiplicity 4)

[15]
Entry from OQMD via LeMat-Bulk: a relaxed RbHoHgS3 crystal (PBE-GGA).

Unit cell a=10.961 b=4.148 c=15.134 alpha=90.00 beta=90.00 gamma=90.00
Space group Pnma (No. 62)
Symmetry-distinct sites (fractional):
1 Rb 0.012 0.250 0.164 (multiplicity 4)
2 Ho 0.139 0.750 0.448 (multiplicity 4)
3 Hg 0.215 0.250 0.656 (multiplicity 4)
4 S 0.009 0.750 0.604 (multiplicity 4)
5 S 0.208 0.250 0.811 (multiplicity 4)
6 S 0.208 0.750 0.008 (multiplicity 4)

[16]
Entry from OQMD via LeMat-Bulk: a relaxed LiCuMoSeS2 crystal (PBE-GGA).

Unit cell a=3.361 b=12.661 c=9.529 alpha=90.00 beta=90.00 gamma=90.00
Space group Cmcm (No. 63)
Symmetry-distinct sites (fractional):
1 Li 0.000 0.218 0.250 (multiplicity 4)
2 Cu 0.000 0.462 0.750 (multiplicity 4)
3 Mo 0.000 0.000 0.000 (multiplicity 4)
4 Se 0.000 0.102 0.750 (multiplicity 4)
5 S 0.000 0.364 0.557 (multiplicity 8)

[17]
Entry from OQMD via LeMat-Bulk: a relaxed BeHgTeO crystal (PBE-GGA).

Unit cell a=5.635 b=15.194 c=8.326 alpha=90.00 beta=90.00 gamma=90.00
Space group Pbca (No. 61)
Symmetry-distinct sites (fractional):
1 Be 0.039 0.234 0.247 (multiplicity 8)
2 Hg 0.083 0.601 0.931 (multiplicity 8)
3 Te 0.044 0.062 0.187 (multiplicity 8)
4 O 0.211 0.737 0.755 (multiplicity 8)

[18]
Entry from OQMD via LeMat-Bulk: a relaxed YTl2ZnF6 crystal (PBE-GGA).

Unit cell a=8.521 b=8.521 c=8.521 alpha=90.00 beta=90.00 gamma=90.00
Space group Fm-3m (No. 225)
Symmetry-distinct sites (fractional):
1 Y 0.000 0.000 0.000 (multiplicity 4)
2 Tl 0.250 0.250 0.250 (multiplicity 8)
3 Zn 0.000 0.000 0.500 (multiplicity 4)
4 F 0.000 0.000 0.256 (multiplicity 24)

[19]
Entry from OQMD via LeMat-Bulk: a relaxed Zr2AuC crystal (PBE-GGA).

Unit cell a=10.013 b=5.786 c=14.661 alpha=90.00 beta=103.20 gamma=90.00
Space group C2/c (No. 15)
Symmetry-distinct sites (fractional):
1 Zr 0.053 0.083 0.409 (multiplicity 8)
2 Zr 0.114 0.417 0.591 (multiplicity 8)
3 Zr 0.220 0.417 0.909 (multiplicity 8)
4 Au 0.000 0.416 0.250 (multiplicity 4)
5 Au 0.167 0.085 0.750 (multiplicity 8)
6 C 0.083 0.250 0.000 (multiplicity 8)
7 C 0.250 0.250 0.500 (multiplicity 4)

[20]
Entry from OQMD via LeMat-Bulk: a relaxed RbLiMo crystal (PBE-GGA).

Unit cell a=7.599 b=7.599 c=7.599 alpha=90.00 beta=90.00 gamma=90.00
Space group F-43m (No. 216)
Symmetry-distinct sites (fractional):
1 Rb 0.000 0.000 0.000 (multiplicity 4)
2 Li 0.250 0.250 0.750 (multiplicity 4)
3 Mo 0.000 0.000 0.500 (multiplicity 4)

The calculation returns the following uncorrected energy values, one per record and in order: -27.2 -39.4 -107.3 -85.7 -84.4 -682.3 -588.2 -83.1 -109.8 -114.8 -27.9 -109.5 -29.6 -115.4 -102.2 -125.2 -124.4 -194.1 -386.3 -34.5 eV/cell.